No. 1
DFT (PBE) results for crystalline Mn2HOsN at its relaxed geometry.

Unit cell a=3.7410 b=3.7410 c=3.9507 alpha=90.00 beta=90.00 gamma=90.00
With the nearest neighbours (Å) after each atom.
Space group P4/mmm (No. 123)
Symmetry-distinct sites (fractional):
Mn (0.0000, 0.5000, 0.0000) (multiplicity 2)  2 N 1.87
H (0.0000, 0.0000, 0.5000) (multiplicity 1)  4 Os 2.65, 8 Mn 2.72
Os (0.5000, 0.5000, 0.5000) (multiplicity 1)  2 N 1.98
N (0.5000, 0.5000, 0.0000) (multiplicity 1)  4 Mn 1.87, 2 Os 1.98

Output
Size of the total moment in Bohr magnetons per cell: 3.772
Crystal system: tetragonal
Calculated volume in Å³/atom: 11.1
E in eV/atom: -7.59

No. 2
DFT (PBE) results for crystalline PmMnHN2 at its relaxed geometry.

Unit cell a=3.7963 b=3.7963 c=3.5023 alpha=90.00 beta=90.00 gamma=90.00
With the nearest neighbours (Å) after each atom.
Space group P4/mmm (No. 123)
Symmetry-distinct sites (fractional):
Pm (0.0000, 0.0000, 0.0000) (multiplicity 1)  8 N 2.58, 4 H 2.68
Mn (0.5000, 0.5000, 0.5000) (multiplicity 1)  2 H 1.75, 4 N 1.90
H (0.5000, 0.5000, 0.0000) (multiplicity 1)  2 Mn 1.75
N (0.0000, 0.5000, 0.5000) (multiplicity 2)  2 Mn 1.90

Output
Size of the total moment in Bohr magnetons per cell: 0.011
Crystal system: tetragonal
Calculated volume in Å³/atom: 10.1
E in eV/atom: -7.46

No. 3
DFT (PBE) results for crystalline PrMnHN2 at its relaxed geometry.

Unit cell a=3.8143 b=3.8143 c=3.5783 alpha=90.00 beta=90.00 gamma=90.00
With the nearest neighbours (Å) after each atom.
Space group P4/mmm (No. 123)
Symmetry-distinct sites (fractional):
Pr (0.0000, 0.0000, 0.0000) (multiplicity 1)  8 N 2.62, 4 H 2.70
Mn (0.5000, 0.5000, 0.5000) (multiplicity 1)  2 H 1.79, 4 N 1.91
H (0.5000, 0.5000, 0.0000) (multiplicity 1)  2 Mn 1.79
N (0.0000, 0.5000, 0.5000) (multiplicity 2)  2 Mn 1.91

Output
Size of the total moment in Bohr magnetons per cell: 0.001
Crystal system: tetragonal
Calculated volume in Å³/atom: 10.4
E in eV/atom: -7.43

No. 4
DFT (PBE) results for crystalline MnHS2N at its relaxed geometry.

Unit cell a=4.3929 b=4.3929 c=2.6075 alpha=90.00 beta=90.00 gamma=90.00
With the nearest neighbours (Å) after each atom.
Space group P4/mmm (No. 123)
Symmetry-distinct sites (fractional):
Mn (0.0000, 0.0000, 0.0000) (multiplicity 1)  8 S 2.55, 2 Mn 2.61
H (0.5000, 0.5000, 0.5000) (multiplicity 1)  2 N 1.30
S (0.0000, 0.5000, 0.5000) (multiplicity 2)  2 H 2.20
N (0.5000, 0.5000, 0.0000) (multiplicity 1)  2 H 1.30

Output
Size of the total moment in Bohr magnetons per cell: 0.142
Crystal system: tetragonal
Calculated volume in Å³/atom: 10.1
ΔE to the lowest computed polymorph in meV per atom: 351

No. 5
DFT (PBE) results for crystalline MnHS2N at its relaxed geometry.

Unit cell a=4.5495 b=4.5495 c=3.4294 alpha=90.00 beta=90.00 gamma=90.00
With the nearest neighbours (Å) after each atom.
Space group P4/mmm (No. 123)
Symmetry-distinct sites (fractional):
Mn (0.0000, 0.0000, 0.0000) (multiplicity 1)  2 N 1.71
H (0.5000, 0.5000, 0.5000) (multiplicity 1)  8 S 2.85
S (0.0000, 0.5000, 0.0000) (multiplicity 2)  2 Mn 2.27
N (0.0000, 0.0000, 0.5000) (multiplicity 1)  2 Mn 1.71

Output
Size of the total moment in Bohr magnetons per cell: 0.546
Crystal system: tetragonal
Calculated volume in Å³/atom: 14.2
ΔE to the lowest computed polymorph in meV per atom: 0

No. 6
DFT (PBE) results for crystalline MnSbHN2 at its relaxed geometry.

Unit cell a=3.5139 b=3.5139 c=5.4207 alpha=90.00 beta=90.00 gamma=90.00
With the nearest neighbours (Å) after each atom.
Space group P4/mmm (No. 123)
Symmetry-distinct sites (fractional):
Mn (0.0000, 0.0000, 0.0000) (multiplicity 1)  4 N 1.76
Sb (0.0000, 0.0000, 0.5000) (multiplicity 1)  4 H 2.48, 2 Mn 2.71
H (0.5000, 0.5000, 0.5000) (multiplicity 1)  4 Sb 2.48
N (0.0000, 0.5000, 0.0000) (multiplicity 2)  2 Mn 1.76

Output
Size of the total moment in Bohr magnetons per cell: 0.000
Crystal system: tetragonal
Calculated volume in Å³/atom: 13.4
E in eV/atom: -5.96

Copy entry 2 word for word.
DFT (PBE) results for crystalline PmMnHN2 at its relaxed geometry.

Unit cell a=3.7963 b=3.7963 c=3.5023 alpha=90.00 beta=90.00 gamma=90.00
With the nearest neighbours (Å) after each atom.
Space group P4/mmm (No. 123)
Symmetry-distinct sites (fractional):
Pm (0.0000, 0.0000, 0.0000) (multiplicity 1)  8 N 2.58, 4 H 2.68
Mn (0.5000, 0.5000, 0.5000) (multiplicity 1)  2 H 1.75, 4 N 1.90
H (0.5000, 0.5000, 0.0000) (multiplicity 1)  2 Mn 1.75
N (0.0000, 0.5000, 0.5000) (multiplicity 2)  2 Mn 1.90

Output
Size of the total moment in Bohr magnetons per cell: 0.011
Crystal system: tetragonal
Calculated volume in Å³/atom: 10.1
E in eV/atom: -7.46